Record 1
Tl2AsW | Alexandria | PBE | relaxed; distance to the lowest polymorph of the same formula = 0.000 eV/atom
1.0
3.223 0.000 0.000
0.000 3.222 0.000
-0.034 0.000 8.917
Tl As W
2 1 1
Direct
0.000 0.000 0.000
0.476 0.500 0.323
0.473 0.500 0.708
0.971 0.000 0.572


Record 2
In3GeO6 | Alexandria | PBE | relaxed; total DFT energy (no corrections) = -5.7211 eV/atom
1.0
4.412 -5.393 0.000
4.412 5.393 0.000
0.000 0.000 5.670
In Ge O
6 2 12
Direct
0.087 0.913 0.500
0.177 0.410 0.530
0.410 0.177 0.030
0.590 0.823 0.530
0.823 0.590 0.030
0.913 0.087 0.000
0.333 0.667 0.036
0.667 0.333 0.536
0.115 0.558 0.880
0.154 0.171 0.258
0.171 0.154 0.758
0.277 0.723 0.348
0.442 0.885 0.880
0.498 0.502 0.065
0.502 0.498 0.565
0.558 0.115 0.380
0.723 0.277 0.848
0.829 0.846 0.258
0.846 0.829 0.758
0.885 0.442 0.380


Record 3
PuHfSc2 | Alexandria | PBE | relaxed; distance to the lowest polymorph of the same formula = 0.225 eV/atom
1.0
1.509 -12.228 0.000
1.509 12.228 0.000
0.000 0.000 5.236
Pu Hf Sc
2 2 4
Direct
0.156 0.844 0.750
0.844 0.156 0.250
0.098 0.902 0.250
0.902 0.098 0.750
0.030 0.970 0.750
0.288 0.712 0.750
0.712 0.288 0.250
0.970 0.030 0.250